VASP calculation (PBE) on crystalline Sc2CoSb at its relaxed geometry.

Cell: 5.465 5.465 5.465 Å, 136.76 136.76 62.80°
Atoms (fractional coordinates):
Sc: 0.250 0.750 0.500
Sc: 0.000 0.000 0.000
Co: 0.500 0.500 0.000
Sb: 0.750 0.250 0.500

Summary:
Uncorrected formation energy (eV/f.u.): -1.499
Uncorrected energy (eV for the cell shown): -25.39
Crystal system: tetragonal
Calculated density (kg/m3): 5942